Entry 1:
This record from Alexandria describes SrAs2Ir after structural relaxation. The functional is PBE.

a b c (Å): 3.357 3.357 7.337
angles (deg): 90.00 90.00 97.86
Element x y z (fractional)
Sr: 0.000 0.000 0.000
As: 0.500 0.500 0.308
As: 0.500 0.500 0.692
Ir: 0.000 0.000 0.500

Computed properties:
SG: No. 65
Raw total energy, eV/atom: -5.098
Calculated volume, Å³/cell: 82
Energy relative to the elements, eV/f.u.: -0.552



Entry 2:
This record from Alexandria describes SrAsIr2 after structural relaxation. The functional is PBE.

a b c (Å): 3.079 3.079 7.823
angles (deg): 90.00 90.00 90.00
Element x y z (fractional)
Sr: 0.000 0.000 0.000
As: 0.000 0.000 0.500
Ir: 0.500 0.500 0.309
Ir: 0.500 0.500 0.691

Computed properties:
SG: No. 123
Raw total energy, eV/atom: -5.931
Calculated volume, Å³/cell: 74
Energy relative to the elements, eV/f.u.: 0.330



Entry 3:
This record from Alexandria describes SrAsIr2 after structural relaxation. The functional is PBE.

a b c (Å): 3.202 3.202 7.483
angles (deg): 90.00 90.00 90.00
Element x y z (fractional)
Sr: 0.000 0.000 0.000
As: 0.500 0.500 0.326
Ir: 0.000 0.000 0.490
Ir: 0.500 0.500 0.711

Computed properties:
SG: No. 99
Raw total energy, eV/atom: -5.967
Calculated volume, Å³/cell: 77
Energy relative to the elements, eV/f.u.: 0.185



Entry 4:
This record from Alexandria describes SrAsIr2 after structural relaxation. The functional is PBE.

a b c (Å): 5.784 5.784 5.784
angles (deg): 149.74 127.06 62.20
Element x y z (fractional)
Sr: 0.000 0.000 0.000
As: 0.278 0.778 0.500
Ir: 0.477 0.477 0.000
Ir: 0.706 0.206 0.500

Computed properties:
SG: No. 44
Raw total energy, eV/atom: -5.924
Calculated volume, Å³/cell: 77
Energy relative to the elements, eV/f.u.: 0.358



Entry 5:
This record from Alexandria describes SrAsIr2 after structural relaxation. The functional is PBE.

a b c (Å): 4.082 4.082 5.273
angles (deg): 90.00 90.00 90.00
Element x y z (fractional)
Sr: 0.000 0.000 0.000
As: 0.500 0.500 0.295
Ir: 0.000 0.500 0.535
Ir: 0.500 0.000 0.535

Computed properties:
SG: No. 99
Raw total energy, eV/atom: -6.283
Calculated volume, Å³/cell: 88
Energy relative to the elements, eV/f.u.: -1.079



Entry 6:
This record from Alexandria describes SrAs2Ir after structural relaxation. The functional is PBE.

a b c (Å): 6.261 6.261 6.261
angles (deg): 38.68 38.68 38.68
Element x y z (fractional)
Sr: 0.000 0.000 0.000
As: 0.220 0.220 0.220
As: 0.780 0.780 0.780
Ir: 0.500 0.500 0.500

Computed properties:
SG: No. 166
Raw total energy, eV/atom: -5.630
Calculated volume, Å³/cell: 86
Energy relative to the elements, eV/f.u.: -2.679



Entry 7:
This record from Alexandria describes SrAsIr4 after structural relaxation. The functional is PBE.

a b c (Å): 5.359 5.359 5.359
angles (deg): 60.00 60.00 60.00
Element x y z (fractional)
Sr: 0.000 0.000 0.000
As: 0.750 0.750 0.750
Ir: 0.376 0.376 0.376
Ir: 0.376 0.376 0.873
Ir: 0.376 0.873 0.376
Ir: 0.873 0.376 0.376

Computed properties:
SG: No. 216
Raw total energy, eV/atom: -6.798
Calculated volume, Å³/cell: 109
Energy relative to the elements, eV/f.u.: 0.989



Entry 8:
This record from Alexandria describes Sr8AsIr2 after structural relaxation. The functional is PBE.

a b c (Å): 7.784 7.792 8.590
angles (deg): 93.69 115.26 91.02
Element x y z (fractional)
Sr: 0.103 0.135 0.216
Sr: 0.250 0.246 0.812
Sr: 0.278 0.657 0.195
Sr: 0.341 0.782 0.707
Sr: 0.659 0.218 0.293
Sr: 0.722 0.343 0.805
Sr: 0.750 0.754 0.188
Sr: 0.897 0.865 0.784
As: 0.000 0.000 0.500
Ir: 0.356 0.957 0.041
Ir: 0.644 0.043 0.959

Computed properties:
SG: No. 2
Raw total energy, eV/atom: -3.534
Calculated volume, Å³/cell: 470
Energy relative to the elements, eV/f.u.: -3.049



Entry 9:
This record from Alexandria describes SrAsIr2 after structural relaxation. The functional is PBE.

a b c (Å): 5.810 5.810 2.871
angles (deg): 104.16 104.16 119.72
Element x y z (fractional)
Sr: 0.000 0.000 0.000
As: 0.500 0.500 0.000
Ir: 0.000 0.500 0.500
Ir: 0.500 0.000 0.500

Computed properties:
SG: No. 12
Raw total energy, eV/atom: -5.719
Calculated volume, Å³/cell: 73
Energy relative to the elements, eV/f.u.: 1.179



Entry 10:
This record from Alexandria describes SrAsIr2 after structural relaxation. The functional is PBE.

a b c (Å): 6.172 6.172 6.172
angles (deg): 104.83 104.83 119.22
Element x y z (fractional)
Sr: 0.000 0.000 0.000
Sr: 0.750 0.250 0.500
As: 0.250 0.750 0.500
As: 0.500 0.500 0.000
Ir: 0.219 0.625 0.094
Ir: 0.375 0.469 0.594
Ir: 0.531 0.125 0.906
Ir: 0.875 0.781 0.406

Computed properties:
SG: No. 122
Raw total energy, eV/atom: -5.964
Calculated volume, Å³/cell: 177
Energy relative to the elements, eV/f.u.: 0.198



Entry 11:
This record from Alexandria describes SrAsIr2 after structural relaxation. The functional is PBE.

a b c (Å): 4.363 4.363 5.984
angles (deg): 111.30 111.30 59.96
Element x y z (fractional)
Sr: 0.000 0.000 0.000
As: 0.500 0.500 0.500
Ir: 0.194 0.194 0.582
Ir: 0.806 0.806 0.418

Computed properties:
SG: No. 12
Raw total energy, eV/atom: -6.253
Calculated volume, Å³/cell: 90
Energy relative to the elements, eV/f.u.: -0.959



Entry 12:
This record from Alexandria describes SrAs2Ir after structural relaxation. The functional is PBE.

a b c (Å): 6.357 6.357 6.357
angles (deg): 107.08 107.08 114.36
Element x y z (fractional)
Sr: 0.000 0.000 0.000
Sr: 0.750 0.250 0.500
As: 0.217 0.625 0.092
As: 0.375 0.467 0.592
As: 0.533 0.125 0.908
As: 0.875 0.783 0.408
Ir: 0.250 0.750 0.500
Ir: 0.500 0.500 0.000

Computed properties:
SG: No. 122
Raw total energy, eV/atom: -5.497
Calculated volume, Å³/cell: 197
Energy relative to the elements, eV/f.u.: -2.146



Entry 13:
This record from Alexandria describes SrAs3Ir after structural relaxation. The functional is PBE.

a b c (Å): 4.978 4.978 4.978
angles (deg): 90.00 90.00 90.00
Element x y z (fractional)
Sr: 0.000 0.000 0.000
As: 0.000 0.500 0.500
As: 0.500 0.000 0.500
As: 0.500 0.500 0.000
Ir: 0.500 0.500 0.500

Computed properties:
ΔE to the lowest computed polymorph, meV/atom: 0
SG: No. 221
Raw total energy, eV/atom: -4.932
Calculated volume, Å³/cell: 123
Energy relative to the elements, eV/f.u.: -0.167



Entry 14:
This record from Alexandria describes SrAs2Ir after structural relaxation. The functional is PBE.

a b c (Å): 3.510 3.510 6.951
angles (deg): 90.00 90.00 90.00
Element x y z (fractional)
Sr: 0.000 0.000 0.000
As: 0.000 0.000 0.537
As: 0.500 0.500 0.291
Ir: 0.500 0.500 0.657

Computed properties:
SG: No. 99
Raw total energy, eV/atom: -5.109
Calculated volume, Å³/cell: 86
Energy relative to the elements, eV/f.u.: -0.596



Entry 15:
This record from Alexandria describes SrAs2Ir after structural relaxation. The functional is PBE.

a b c (Å): 4.567 4.402 5.182
angles (deg): 90.00 102.59 90.00
Element x y z (fractional)
Sr: 0.000 0.000 0.000
As: 0.334 0.500 0.670
As: 0.599 0.000 0.411
Ir: 0.823 0.500 0.472

Computed properties:
SG: No. 6
Raw total energy, eV/atom: -5.388
Calculated volume, Å³/cell: 102
Energy relative to the elements, eV/f.u.: -1.710



Entry 16:
This record from Alexandria describes SrAsIr2 after structural relaxation. The functional is PBE.

a b c (Å): 4.845 4.845 3.224
angles (deg): 90.00 90.00 101.78
Element x y z (fractional)
Sr: 0.000 0.000 0.000
As: 0.500 0.500 0.000
Ir: 0.000 0.500 0.500
Ir: 0.500 0.000 0.500

Computed properties:
SG: No. 65
Raw total energy, eV/atom: -5.652
Calculated volume, Å³/cell: 74
Energy relative to the elements, eV/f.u.: 1.446



Entry 17:
This record from Alexandria describes SrAsIr3 after structural relaxation. The functional is PBE.

a b c (Å): 4.683 4.683 4.683
angles (deg): 90.00 90.00 90.00
Element x y z (fractional)
Sr: 0.000 0.000 0.000
As: 0.500 0.500 0.500
Ir: 0.000 0.500 0.500
Ir: 0.500 0.000 0.500
Ir: 0.500 0.500 0.000

Computed properties:
SG: No. 221
Raw total energy, eV/atom: -6.252
Calculated volume, Å³/cell: 103
Energy relative to the elements, eV/f.u.: 1.656



Entry 18:
This record from Alexandria describes SrAsIr2 after structural relaxation. The functional is PBE.

a b c (Å): 4.259 4.259 4.077
angles (deg): 90.00 90.00 90.00
Element x y z (fractional)
Sr: 0.000 0.000 0.000
As: 0.500 0.500 0.000
Ir: 0.000 0.500 0.500
Ir: 0.500 0.000 0.500

Computed properties:
SG: No. 123
Raw total energy, eV/atom: -5.779
Calculated volume, Å³/cell: 74
Energy relative to the elements, eV/f.u.: 0.937



Entry 19:
This record from Alexandria describes Sr2As3Ir3 after structural relaxation. The functional is PBE.

a b c (Å): 8.268 8.268 20.734
angles (deg): 90.00 90.00 90.00
Element x y z (fractional)
Sr: 0.000 0.000 0.250
Sr: 0.000 0.000 0.750
As: 0.000 0.000 0.000
As: 0.000 0.000 0.391
As: 0.000 0.000 0.609
Ir: 0.000 0.000 0.107
Ir: 0.000 0.000 0.500
Ir: 0.000 0.000 0.893

Computed properties:
SG: No. 123
Raw total energy, eV/atom: -3.762
Calculated volume, Å³/cell: 1417
Energy relative to the elements, eV/f.u.: 13.802



Entry 20:
This record from Alexandria describes SrAs2Ir after structural relaxation. The functional is PBE.

a b c (Å): 4.112 4.112 6.521
angles (deg): 108.42 108.42 59.90
Element x y z (fractional)
Sr: 0.000 0.000 0.000
As: 0.561 0.561 0.684
As: 0.788 0.788 0.361
Ir: 0.181 0.181 0.542

Computed properties:
SG: No. 8
Raw total energy, eV/atom: -5.613
Calculated volume, Å³/cell: 89
Energy relative to the elements, eV/f.u.: -2.612



Entry 21:
This record from Alexandria describes SrAsIr2 after structural relaxation. The functional is PBE.

a b c (Å): 4.758 4.758 4.758
angles (deg): 60.00 60.00 60.00
Element x y z (fractional)
Sr: 0.000 0.000 0.000
As: 0.750 0.750 0.750
Ir: 0.250 0.250 0.250
Ir: 0.500 0.500 0.500

Computed properties:
SG: No. 216
Raw total energy, eV/atom: -5.571
Calculated volume, Å³/cell: 76
Energy relative to the elements, eV/f.u.: 1.769



Entry 22:
This record from Alexandria describes SrAs2Ir after structural relaxation. The functional is PBE.

a b c (Å): 4.831 4.107 4.877
angles (deg): 90.00 100.10 90.00
Element x y z (fractional)
Sr: 0.000 0.000 0.000
As: 0.261 0.500 0.621
As: 0.739 0.500 0.379
Ir: 0.500 0.000 0.500

Computed properties:
SG: No. 10
Raw total energy, eV/atom: -5.545
Calculated volume, Å³/cell: 95
Energy relative to the elements, eV/f.u.: -2.336



Entry 23:
This record from Alexandria describes SrAs2Ir after structural relaxation. The functional is PBE.

a b c (Å): 3.311 3.311 7.350
angles (deg): 90.00 90.00 90.00
Element x y z (fractional)
Sr: 0.000 0.000 0.000
As: 0.500 0.500 0.307
As: 0.500 0.500 0.693
Ir: 0.000 0.000 0.500

Computed properties:
SG: No. 123
Raw total energy, eV/atom: -5.094
Calculated volume, Å³/cell: 81
Energy relative to the elements, eV/f.u.: -0.536



Entry 24:
This record from Alexandria describes SrAsIr2 after structural relaxation. The functional is PBE.

a b c (Å): 2.973 4.967 5.027
angles (deg): 90.00 90.00 90.00
Element x y z (fractional)
Sr: 0.000 0.000 0.000
As: 0.500 0.500 0.000
Ir: 0.000 0.500 0.500
Ir: 0.500 0.000 0.500

Computed properties:
SG: No. 47
Raw total energy, eV/atom: -5.662
Calculated volume, Å³/cell: 74
Energy relative to the elements, eV/f.u.: 1.406



Entry 25:
This record from Alexandria describes SrAs2Ir after structural relaxation. The functional is PBE.

a b c (Å): 4.830 4.830 4.830
angles (deg): 60.00 60.00 60.00
Element x y z (fractional)
Sr: 0.000 0.000 0.000
As: 0.250 0.250 0.250
As: 0.750 0.750 0.750
Ir: 0.500 0.500 0.500

Computed properties:
SG: No. 225
Raw total energy, eV/atom: -5.080
Calculated volume, Å³/cell: 80
Energy relative to the elements, eV/f.u.: -0.478



Entry 26:
This record from Alexandria describes SrAs2Ir after structural relaxation. The functional is PBE.

a b c (Å): 7.242 7.242 7.242
angles (deg): 151.60 150.62 41.32
Element x y z (fractional)
Sr: 0.000 0.000 0.000
As: 0.371 0.371 0.000
As: 0.684 0.184 0.500
Ir: 0.247 0.747 0.500

Computed properties:
SG: No. 44
Raw total energy, eV/atom: -5.262
Calculated volume, Å³/cell: 88
Energy relative to the elements, eV/f.u.: -1.208



Entry 27:
This record from Alexandria describes SrAsIr2 after structural relaxation. The functional is PBE.

a b c (Å): 2.963 3.963 6.626
angles (deg): 90.00 90.00 90.00
Element x y z (fractional)
Sr: 0.000 0.000 0.000
As: 0.500 0.500 0.334
Ir: 0.000 0.000 0.512
Ir: 0.500 0.500 0.698

Computed properties:
SG: No. 25
Raw total energy, eV/atom: -6.007
Calculated volume, Å³/cell: 78
Energy relative to the elements, eV/f.u.: 0.027



Entry 28:
This record from Alexandria describes SrAsIr2 after structural relaxation. The functional is PBE.

a b c (Å): 2.996 4.428 5.923
angles (deg): 90.00 100.86 90.00
Element x y z (fractional)
Sr: 0.000 0.000 0.000
As: 0.500 0.000 0.500
Ir: 0.338 0.500 0.694
Ir: 0.662 0.500 0.306

Computed properties:
SG: No. 10
Raw total energy, eV/atom: -5.859
Calculated volume, Å³/cell: 77
Energy relative to the elements, eV/f.u.: 0.618



Entry 29:
This record from Alexandria describes SrAs2Ir after structural relaxation. The functional is PBE.

a b c (Å): 4.427 4.427 4.129
angles (deg): 90.00 90.00 90.00
Element x y z (fractional)
Sr: 0.000 0.000 0.000
As: 0.000 0.500 0.500
As: 0.500 0.000 0.500
Ir: 0.500 0.500 0.000

Computed properties:
SG: No. 123
Raw total energy, eV/atom: -4.949
Calculated volume, Å³/cell: 81
Energy relative to the elements, eV/f.u.: 0.045